Below is a relaxed structure of CaTlInCl6, with properties calculated at the GGA-PBE level.

Lattice parameters (Å, degrees): 6.980 6.980 13.865 90.00 90.00 120.00
Fractional coordinates of all 18 atoms:
Ca 0.333 0.667 0.250
Ca 0.667 0.333 0.750
Tl 0.000 0.000 0.000
Tl 0.000 0.000 0.500
In 0.333 0.667 0.750
In 0.667 0.333 0.250
Cl 0.021 0.381 0.643
Cl 0.021 0.640 0.857
Cl 0.360 0.381 0.857
Cl 0.360 0.979 0.643
Cl 0.381 0.021 0.143
Cl 0.381 0.360 0.357
Cl 0.619 0.640 0.643
Cl 0.619 0.979 0.857
Cl 0.640 0.021 0.357
Cl 0.640 0.619 0.143
Cl 0.979 0.360 0.143
Cl 0.979 0.619 0.357

Properties
* M_tot: 0.0 μB/f.u.
* formation energy (no corrections): -1.54 eV per atom
* space group: P-31c
* V: 585.1 Å³/cell

***

Below is a relaxed structure of InSnSb, with properties calculated at the GGA-PBE level.

Lattice parameters (Å, degrees): 4.524 4.524 8.561 90.17 90.17 84.23
Fractional coordinates of all 6 atoms:
In 0.000 0.000 0.000
In 0.230 0.230 0.355
Sn 0.505 0.505 0.655
Sn 0.731 0.731 0.293
Sb 0.444 0.444 0.008
Sb 0.943 0.943 0.648

Properties
* M_tot: 0.0 μB/f.u.
* formation energy (no corrections): 0.02 eV per atom
* energy relative to the lowest polymorph listed for this composition: 1.84 kJ per mole of atoms
* space group: Cm
* V: 174.4 Å³/cell

***

Below is a relaxed structure of Pr8Pb2Au, with properties calculated at the GGA-PBE level.

Lattice parameters (Å, degrees): 10.416 10.416 7.075 104.36 104.36 29.28
Fractional coordinates of all 11 atoms:
Pr 0.014 0.014 0.276
Pr 0.215 0.215 0.824
Pr 0.349 0.349 0.498
Pr 0.409 0.409 0.025
Pr 0.591 0.591 0.975
Pr 0.651 0.651 0.502
Pr 0.785 0.785 0.176
Pr 0.986 0.986 0.724
Pb 0.180 0.180 0.258
Pb 0.820 0.820 0.742
Au 0.500 0.500 0.500

Properties
* M_tot: 0.0 μB/f.u.
* space group: C2/m
* total energy: -4.78 eV per atom
* V: 362.9 Å³/cell

***

Below is a relaxed structure of CsBaSb, with properties calculated at the GGA-PBE level.

Lattice parameters (Å, degrees): 9.104 5.478 11.577 90.00 90.00 90.00
Fractional coordinates of all 12 atoms:
Cs 0.129 0.250 0.063
Cs 0.371 0.750 0.563
Cs 0.629 0.250 0.437
Cs 0.871 0.750 0.937
Ba 0.043 0.250 0.660
Ba 0.457 0.750 0.160
Ba 0.543 0.250 0.840
Ba 0.957 0.750 0.340
Sb 0.201 0.250 0.378
Sb 0.299 0.750 0.878
Sb 0.701 0.250 0.122
Sb 0.799 0.750 0.622

Properties
* M_tot: 0.0 μB/f.u.
* formation energy (no corrections): -0.66 eV per atom
* space group: Pnma
* V: 577.4 Å³/cell

***

Below is a relaxed structure of PrInRh2, with properties calculated at the GGA-PBE level.

Lattice parameters (Å, degrees): 3.469 3.469 6.580 90.00 90.00 90.00
Fractional coordinates of all 4 atoms:
Pr 0.000 0.000 0.000
In 0.000 0.000 0.500
Rh 0.500 0.500 0.276
Rh 0.500 0.500 0.724

Properties
* M_tot: 0.0 μB/f.u.
* space group: P4/mmm
* total energy: -6.04 eV per atom
* V: 79.2 Å³/cell

***

Below is a relaxed structure of TbHoHgBi, with properties calculated at the GGA-PBE level.

Lattice parameters (Å, degrees): 5.376 5.376 5.376 60.00 60.00 60.00
Fractional coordinates of all 4 atoms:
Tb 0.000 0.000 0.000
Ho 0.500 0.500 0.500
Hg 0.250 0.250 0.250
Bi 0.750 0.750 0.750

Properties
* M_tot: 0.0 μB/f.u.
* space group: F-43m
* total energy: -3.84 eV per atom
* V: 109.9 Å³/cell

***

Below is a relaxed structure of LiIn2Ag, with properties calculated at the GGA-PBE level.

Lattice parameters (Å, degrees): 9.339 9.339 9.339 20.46 20.46 20.46
Fractional coordinates of all 4 atoms:
Li 0.000 0.000 0.000
In 0.250 0.250 0.250
In 0.750 0.750 0.750
Ag 0.500 0.500 0.500

Properties
* M_tot: 0.0 μB/f.u.
* space group: R-3m
* total energy: -2.61 eV per atom
* V: 87.1 Å³/cell

***

Below is a relaxed structure of Ba3HgB2O6, with properties calculated at the GGA-PBE level.

Lattice parameters (Å, degrees): 5.582 5.582 9.477 90.00 90.00 120.00
Fractional coordinates of all 12 atoms:
Ba 0.000 0.000 0.000
Ba 0.333 0.667 0.743
Ba 0.667 0.333 0.257
Hg 0.000 0.000 0.500
B 0.333 0.667 0.200
B 0.667 0.333 0.800
O 0.190 0.379 0.200
O 0.190 0.810 0.200
O 0.379 0.190 0.800
O 0.621 0.810 0.200
O 0.810 0.190 0.800
O 0.810 0.621 0.800

Properties
* M_tot: 0.0 μB/f.u.
* formation energy (no corrections): -2.38 eV per atom
* space group: P-3m1
* V: 255.7 Å³/cell

***

Below is a relaxed structure of BeTcSb, with properties calculated at the GGA-PBE level.

Lattice parameters (Å, degrees): 4.062 4.062 4.062 60.00 60.00 60.00
Fractional coordinates of all 3 atoms:
Be 0.000 0.000 0.000
Tc 0.250 0.250 0.250
Sb 0.750 0.750 0.750

Properties
* M_tot: 0.0 μB/f.u.
* formation energy (no corrections): 0.40 eV per atom
* energy relative to the lowest polymorph listed for this composition: 44.29 kJ per mole of atoms
* space group: F-43m
* V: 47.4 Å³/cell

***

Below is a relaxed structure of BPNCl2, with properties calculated at the GGA-PBE level.

Lattice parameters (Å, degrees): 5.532 5.532 3.355 90.00 90.00 90.00
Fractional coordinates of all 5 atoms:
B 0.000 0.000 0.000
P 0.500 0.500 0.000
N 0.500 0.500 0.500
Cl 0.000 0.500 0.500
Cl 0.500 0.000 0.500

Properties
* M_tot: 0.0 μB/f.u.
* formation energy (no corrections): 1.54 eV per atom
* energy relative to the lowest polymorph listed for this composition: 0.00 kJ per mole of atoms
* space group: P4/mmm
* V: 102.7 Å³/cell

***

Below is a relaxed structure of CdGa3Cl, with properties calculated at the GGA-PBE level.

Lattice parameters (Å, degrees): 5.339 5.339 5.339 90.00 90.00 90.00
Fractional coordinates of all 5 atoms:
Cd 0.000 0.000 0.000
Ga 0.000 0.500 0.500
Ga 0.500 0.000 0.500
Ga 0.500 0.500 0.000
Cl 0.500 0.500 0.500

Properties
* M_tot: 0.0 μB/f.u.
* formation energy (no corrections): 0.24 eV per atom
* energy relative to the lowest polymorph listed for this composition: 7.00 kJ per mole of atoms
* space group: Pm-3m
* V: 152.2 Å³/cell

***

Below is a relaxed structure of HfTaMn, with properties calculated at the GGA-PBE level.

Lattice parameters (Å, degrees): 7.443 7.442 6.080 65.90 65.88 48.21
Fractional coordinates of all 12 atoms:
Hf 0.002 0.002 0.748
Hf 0.252 0.252 0.998
Hf 0.748 0.748 0.002
Hf 0.998 0.998 0.252
Ta 0.252 0.252 0.498
Ta 0.498 0.498 0.252
Ta 0.502 0.502 0.748
Ta 0.748 0.748 0.502
Mn 0.137 0.613 0.613
Mn 0.387 0.863 0.863
Mn 0.613 0.137 0.137
Mn 0.863 0.387 0.387

Properties
* M_tot: 0.0 μB/f.u.
* energy relative to the lowest polymorph listed for this composition: 37.16 kJ per mole of atoms
* space group: Fddd
* V: 224.6 Å³/cell

***

Among the records above, which one has the highest V?
CaTlInCl6